# CaP2Se | Alexandria via LeMat-Bulk | GGA-PBE | relaxed
# **Density**: 3.2 g/cm3
# **Fermi-level density of states**: 0.5244 states/eV/atom
# **Formation energy from raw total energies**: -0.360 eV per atom
# **Spin magnetization**: 0.0 μB per cell
data_CaP2Se
_chemical_formula_sum 'Ca2 P4 Se2'
_space_group_name_H-M_alt 'C m m 2'
_space_group_IT_number 35
_cell_length_a 4.740
_cell_length_b 4.947
_cell_length_c 8.014
_cell_angle_alpha 90.00
_cell_angle_beta 90.00
_cell_angle_gamma 90.00
loop_
_space_group_symop_operation_xyz
'x,y,z'
'-x,-y,z'
'-x,y,z'
'x,-y,z'
'x+1/2,y+1/2,z'
'-x+1/2,-y+1/2,z'
'-x+1/2,y+1/2,z'
'x+1/2,-y+1/2,z'
loop_
_atom_site_label
_atom_site_fract_x
_atom_site_fract_y
_atom_site_fract_z
Ca1 0.000 0.000 0.000
P1 0.000 0.000 0.633
P2 0.000 0.500 0.675
Se1 0.000 0.500 0.191

***

# GaPbAu2 | Alexandria via LeMat-Bulk | GGA-PBE | relaxed
# **Density**: 13.1 g/cm3
# **Fermi-level density of states**: 0.3184 states/eV/atom
# **Formation energy**: -0.07 eV per atom
# **Spin magnetization**: 0.0 μB per cell
data_GaPbAu2
_chemical_formula_sum 'Ga1 Pb1 Au2'
_space_group_name_H-M_alt 'P 4/m m m'
_space_group_IT_number 123
_space_group_name_Hall '-P 4 2'
_cell_length_a 3.472
_cell_length_b 3.472
_cell_length_c 7.076
_cell_angle_alpha 90.00
_cell_angle_beta 90.00
_cell_angle_gamma 90.00
loop_
_atom_site_label
_atom_site_fract_x
_atom_site_fract_y
_atom_site_fract_z
Ga1 0.000 0.000 0.000
Pb1 0.000 0.000 0.500
Au1 0.500 0.500 0.206

***

# MgGa3Ag3 | Alexandria via LeMat-Bulk | GGA-PBE | relaxed
# **Polymorph energy (0 for the lowest one)**: 0.17 eV/f.u.
# **Density**: 6.8 g/cm3
# **Fermi-level density of states**: 0.3449 states/eV/atom
# **Formation energy**: -0.02 eV per atom
# **Spin magnetization**: 0.0 μB per cell
data_MgGa3Ag3
_chemical_formula_sum 'Mg6 Ga18 Ag18'
_space_group_name_H-M_alt 'R -3 m'
_space_group_IT_number 166
_space_group_name_Hall '-R 3 2"'
_cell_length_a 8.4624
_cell_length_b 8.4624
_cell_length_c 13.2304
_cell_angle_alpha 90.00
_cell_angle_beta 90.00
_cell_angle_gamma 120.00
loop_
_atom_site_label
_atom_site_fract_x
_atom_site_fract_y
_atom_site_fract_z
Mg1 0.0000 0.0000 0.1376
Ga1 0.1094 0.5547 0.3308
Ag1 0.0000 0.3317 0.5000

***

# LiErHgAu | Alexandria via LeMat-Bulk | GGA-PBE | relaxed
# **Density**: 11.4 g/cm3
# **Fermi-level density of states**: 0.9052 states/eV/atom
# **Formation energy**: -0.55 eV per atom
# **Spin magnetization**: 0.0 μB per cell
data_LiErHgAu
_chemical_formula_sum 'Li4 Er4 Hg4 Au4'
_space_group_name_H-M_alt 'F -4 3 m'
_space_group_IT_number 216
_space_group_name_Hall 'F -4 2 3'
_cell_length_a 6.939
_cell_length_b 6.939
_cell_length_c 6.939
_cell_angle_alpha 90.00
_cell_angle_beta 90.00
_cell_angle_gamma 90.00
loop_
_atom_site_label
_atom_site_fract_x
_atom_site_fract_y
_atom_site_fract_z
Li1 0.000 0.000 0.000
Er1 0.000 0.000 0.500
Hg1 0.250 0.250 0.750
Au1 0.250 0.250 0.250

***

# LiZrOs2 | Alexandria via LeMat-Bulk | GGA-PBE | relaxed
# **Density**: 12.0 g/cm3
# **Fermi-level density of states**: 1.3588 states/eV/atom
# **Formation energy**: 0.45 eV per atom
# **Spin magnetization**: 0.0 μB per cell
data_LiZrOs2
_chemical_formula_sum 'Li2 Zr2 Os4'
_space_group_name_H-M_alt 'C m m 2'
_space_group_IT_number 35
_cell_length_a 2.899
_cell_length_b 4.683
_cell_length_c 9.788
_cell_angle_alpha 90.00
_cell_angle_beta 90.00
_cell_angle_gamma 90.00
loop_
_space_group_symop_operation_xyz
'x,y,z'
'-x,-y,z'
'-x,y,z'
'x,-y,z'
'x+1/2,y+1/2,z'
'-x+1/2,-y+1/2,z'
'-x+1/2,y+1/2,z'
'x+1/2,-y+1/2,z'
loop_
_atom_site_label
_atom_site_fract_x
_atom_site_fract_y
_atom_site_fract_z
Li1 0.000 0.000 0.000
Zr1 0.000 0.500 0.711
Os1 0.000 0.000 0.458
Os2 0.000 0.500 0.234

***

# Sm2TiAs4Rh3 | Alexandria via LeMat-Bulk | GGA-PBE | relaxed
# **Density**: 8.5 g/cm3
# **Fermi-level density of states**: 0.5009 states/eV/atom
# **Formation energy**: -0.93 eV per atom
# **Spin magnetization**: 0.0 μB per cell
data_Sm2TiAs4Rh3
_chemical_formula_sum 'Sm2 Ti1 As4 Rh3'
_space_group_name_H-M_alt 'P -4 m 2'
_space_group_IT_number 115
_cell_length_a 4.263
_cell_length_b 4.263
_cell_length_c 10.334
_cell_angle_alpha 90.00
_cell_angle_beta 90.00
_cell_angle_gamma 90.00
loop_
_space_group_symop_operation_xyz
'x,y,z'
'y,-x,-z'
'-x,-y,z'
'-y,x,-z'
'-x,y,z'
'-y,-x,-z'
'x,-y,z'
'y,x,-z'
loop_
_atom_site_label
_atom_site_fract_x
_atom_site_fract_y
_atom_site_fract_z
Sm1 0.000 0.500 0.235
Ti1 0.000 0.000 0.500
As1 0.000 0.000 0.000
As2 0.000 0.500 0.640
As3 0.500 0.500 0.000
Rh1 0.000 0.500 0.879
Rh2 0.500 0.500 0.500

***

# Zn2CoRe | Alexandria via LeMat-Bulk | GGA-PBE | relaxed
# **Polymorph energy (0 for the lowest one)**: 0.64 eV/f.u.
# **Density**: 11.4 g/cm3
# **Fermi-level density of states**: 1.0316 states/eV/atom
# **Formation energy**: 0.18 eV per atom
# **Spin magnetization**: 4.3 μB per cell
data_Zn2CoRe
_chemical_formula_sum 'Zn6 Co3 Re3'
_space_group_name_H-M_alt 'R -3 m'
_space_group_IT_number 166
_space_group_name_Hall '-R 3 2"'
_cell_length_a 2.7098
_cell_length_b 2.7098
_cell_length_c 25.8360
_cell_angle_alpha 90.00
_cell_angle_beta 90.00
_cell_angle_gamma 120.00
loop_
_atom_site_label
_atom_site_fract_x
_atom_site_fract_y
_atom_site_fract_z
Zn1 0.0000 0.0000 0.2456
Co1 0.0000 0.0000 0.5000
Re1 0.0000 0.0000 0.0000

***

# Sr2LiCu2 | Alexandria via LeMat-Bulk | GGA-PBE | relaxed
# **Polymorph energy (0 for the lowest one)**: 0.76 eV/f.u.
# **Density**: 3.6 g/cm3
# **Fermi-level density of states**: 0.5927 states/eV/atom
# **Formation energy**: 0.10 eV per atom
# **Spin magnetization**: 0.0 μB per cell
data_Sr2LiCu2
_chemical_formula_sum 'Sr4 Li2 Cu4'
_space_group_name_H-M_alt 'I 4/m m m'
_space_group_IT_number 139
_space_group_name_Hall '-I 4 2'
_cell_length_a 5.965
_cell_length_b 5.965
_cell_length_c 8.063
_cell_angle_alpha 90.00
_cell_angle_beta 90.00
_cell_angle_gamma 90.00
loop_
_atom_site_label
_atom_site_fract_x
_atom_site_fract_y
_atom_site_fract_z
Sr1 0.000 0.500 0.250
Li1 0.000 0.000 0.000
Cu1 0.000 0.000 0.353